# 1
Ca2PBr: relaxed, PBE-GGA.

Cell lengths 3.7690, 3.6845, 7.7479 Å; angles 90.00, 90.03, 90.00 degrees
Last column: nearest neighbours and their distance in Å.
Element x y z (fractional)
Ca 0.0045 0.0000 0.3078  1 Ca 2.98, 2 Br 3.01, 4 P 3.02-3.04
Ca 0.9955 0.0000 0.6922  1 Ca 2.98, 2 Br 3.01, 4 P 3.02-3.04
P 0.5000 0.5000 0.5000  8 Ca 3.02-3.04
Br 0.0000 0.5000 0.0000  4 Ca 3.01

Calculated values
**VASP energy**: -16.3 eV for the cell shown
**Space group**: P2/m, No. 10


# 2
Ca2PBr: relaxed, PBE-GGA.

Cell lengths 5.3150, 5.3150, 3.7756 Å; angles 101.67, 101.67, 89.72 degrees
Last column: nearest neighbours and their distance in Å.
Element x y z (fractional)
Ca 0.0000 0.5000 0.0000  2 Br 2.93, 2 P 2.93
Ca 0.5000 0.0000 0.0000  2 Br 2.93, 2 P 2.93
P 0.0000 0.0000 0.5000  4 Ca 2.93
Br 0.5000 0.5000 0.5000  4 Ca 2.93

Calculated values
**VASP energy**: -15.7 eV for the cell shown
**Space group**: C2/m, No. 12


# 3
Ca4P2Br5: relaxed, PBE-GGA.

Cell lengths 11.3967, 11.3967, 8.2030 Å; angles 90.77, 90.77, 20.46 degrees
Last column: nearest neighbours and their distance in Å.
Element x y z (fractional)
Ca 0.0177 0.0177 0.2291  3 Br 2.91-3.04, 4 P 2.93-3.04
Ca 0.3289 0.3289 0.9215  5 Br 2.89-2.95, 1 P 2.94
Ca 0.6711 0.6711 0.0785  5 Br 2.89-2.95, 1 P 2.94
Ca 0.9823 0.9823 0.7709  3 Br 2.91-3.04, 4 P 2.93-3.04
P 0.4539 0.4539 0.0360  1 P 2.16
P 0.5461 0.5461 0.9640  1 P 2.16
Br 0.1440 0.1440 0.3177  3 Ca 2.89-2.91
Br 0.2006 0.2006 0.8394  3 Ca 2.90-2.95
Br 0.5000 0.5000 0.5000  4 Ca 3.04
Br 0.7994 0.7994 0.1606  3 Ca 2.90-2.95
Br 0.8560 0.8560 0.6823  3 Ca 2.89-2.91

Calculated values
**VASP energy**: -45.0 eV for the cell shown
**Space group**: C2/m, No. 12


# 4
Ca4P2Br3: relaxed, PBE-GGA.

Cell lengths 4.1602, 4.1602, 17.8963 Å; angles 90.05, 90.05, 60.00 degrees
Last column: nearest neighbours and their distance in Å.
Element x y z (fractional)
Ca 0.0008 0.0008 0.3025  3 Br 2.89, 3 P 3.01
Ca 0.3337 0.3337 0.1189  3 P 2.82
Ca 0.6663 0.6663 0.8811  3 P 2.82
Ca 0.9992 0.9992 0.6975  3 Br 2.89, 3 P 3.01
P 0.3328 0.3328 0.7986  6 Ca 2.82-3.01
P 0.6672 0.6672 0.2014  6 Ca 2.82-3.01
Br 0.0000 0.0000 0.0000  6 Ca 3.21
Br 0.3344 0.3344 0.3926  3 Ca 2.89
Br 0.6656 0.6656 0.6074  3 Ca 2.89

Calculated values
**VASP energy**: -37.4 eV for the cell shown
**Space group**: C2/m, No. 12


# 5
Ca2PBr: relaxed, PBE-GGA.

Cell lengths 6.6727, 6.6727, 6.6727 Å; angles 143.87, 143.87, 52.02 degrees
Last column: nearest neighbours and their distance in Å.
Element x y z (fractional)
Ca 0.0000 0.0000 0.0000  4 Br 2.93
Ca 0.7500 0.2500 0.5000  4 P 2.93
P 0.2500 0.7500 0.5000  4 Ca 2.93
Br 0.5000 0.5000 0.0000  4 Ca 2.93

Calculated values
**VASP energy**: -15.2 eV for the cell shown
**Space group**: I-4m2, No. 119


# 6
Ca3PBr3: relaxed, PBE-GGA.

Cell lengths 8.5216, 4.2396, 11.8254 Å; angles 90.00, 91.86, 90.00 degrees
Last column: nearest neighbours and their distance in Å.
Element x y z (fractional)
Ca 0.0953 0.2500 0.3859  3 P 2.86-2.87, 3 Br 3.11-3.20
Ca 0.1408 0.2500 0.8665  1 P 2.82, 5 Br 2.90-3.06
Ca 0.3506 0.7500 0.6334  2 P 2.83, 4 Br 2.92-3.15
Ca 0.6494 0.2500 0.3666  2 P 2.83, 4 Br 2.92-3.15
Ca 0.8592 0.7500 0.1335  1 P 2.82, 5 Br 2.90-3.06
Ca 0.9047 0.7500 0.6141  3 P 2.86-2.87, 3 Br 3.11-3.20
P 0.1305 0.2500 0.6281  6 Ca 2.82-2.87
P 0.8695 0.7500 0.3719  6 Ca 2.82-2.87
Br 0.1057 0.2500 0.1234  4 Ca 2.99-3.11
Br 0.3732 0.7500 0.8804  3 Ca 2.90-2.92
Br 0.3766 0.7500 0.3781  5 Ca 3.03-3.20
Br 0.6234 0.2500 0.6219  5 Ca 3.03-3.20
Br 0.6268 0.2500 0.1196  3 Ca 2.90-2.92
Br 0.8943 0.7500 0.8766  4 Ca 2.99-3.11

Calculated values
**VASP energy**: -57.9 eV for the cell shown
**Space group**: P2_1/m, No. 11


# 7
Ca2PBr: relaxed, PBE-GGA.

Cell lengths 4.5594, 6.0110, 6.0110 Å; angles 37.93, 90.00, 90.00 degrees
Last column: nearest neighbours and their distance in Å.
Element x y z (fractional)
Ca 0.0000 0.0000 0.0000  1 Br 2.85, 4 P 3.00
Ca 0.5000 0.2504 0.2504  1 P 2.92, 4 Br 3.00
P 0.5000 0.5068 0.5068  5 Ca 2.92-3.00
Br 0.0000 0.7495 0.7495  5 Ca 2.85-3.00

Calculated values
**VASP energy**: -16.1 eV for the cell shown
**Space group**: Amm2, No. 38


# 8
Ca4P2Br: relaxed, PBE-GGA.

Cell lengths 8.6214, 8.6214, 8.6214 Å; angles 120.02, 119.99, 89.99 degrees
Last column: nearest neighbours and their distance in Å.
Element x y z (fractional)
Ca 0.2683 0.2317 0.0366  3 P 2.84, 1 Br 3.02
Ca 0.2682 0.2318 0.4636  3 P 2.84, 1 Br 3.03
Ca 0.2682 0.8046 0.0364  3 P 2.84, 1 Br 3.03
Ca 0.3049 0.7683 0.5366  3 P 2.84, 1 Br 3.02
Ca 0.6951 0.2317 0.4634  3 P 2.84, 1 Br 3.02
Ca 0.7318 0.1954 0.9636  3 P 2.84, 1 Br 3.03
Ca 0.7318 0.7682 0.5364  3 P 2.84, 1 Br 3.03
Ca 0.7317 0.7683 0.9634  3 P 2.84, 1 Br 3.02
P 0.0000 0.0000 0.0000  6 Ca 2.84
P 0.5000 0.0000 0.0000  6 Ca 2.84
P 0.5000 0.0000 0.5000  6 Ca 2.84
P 0.5000 0.5000 0.5000  6 Ca 2.84
Br 0.1246 0.3746 0.7500  4 Ca 3.02-3.03
Br 0.8754 0.6254 0.2500  4 Ca 3.02-3.03

Calculated values
**VASP energy**: -57.8 eV for the cell shown
**Space group**: Imma, No. 74